w:
A relaxed structure of MnSb2CI, computed with GGA-PBE.

abc: 4.6583 4.6583 4.8816
angles: 90.00 90.00 90.00
Space group P4/mmm (No. 123)
Unique sites:
Mn (0.0000, 0.0000, 0.0000) x1
Sb (0.0000, 0.5000, 0.5000) x2
C (0.5000, 0.5000, 0.5000) x1
I (0.5000, 0.5000, 0.0000) x1

spin magnetization = 0.026 μB/atom
DOS at the Fermi energy = 4.27 states/eV per cell

x:
A relaxed structure of MnSb2CI, computed with GGA-PBE.

abc: 5.0712 5.0712 5.3488
angles: 90.00 90.00 90.00
Space group P4/mmm (No. 123)
Unique sites:
Mn (0.0000, 0.0000, 0.0000) x1
Sb (0.0000, 0.5000, 0.0000) x2
C (0.5000, 0.5000, 0.5000) x1
I (0.0000, 0.0000, 0.5000) x1

spin magnetization = 0.885 μB/atom
DOS at the Fermi energy = 4.59 states/eV per cell

Last place for stability: x

w:
A relaxed structure of MoC3I, computed with GGA-PBE.

abc: 4.0425 4.0425 4.0425
angles: 90.00 90.00 90.00
Space group Pm-3m (No. 221)
Unique sites:
Mo (0.0000, 0.0000, 0.0000) x1
C (0.0000, 0.5000, 0.5000) x3
I (0.5000, 0.5000, 0.5000) x1

spin magnetization = 0.000 μB/atom
DOS at the Fermi energy = 5.50 states/eV per cell

x:
A relaxed structure of MoC3I, computed with GGA-PBE.

abc: 4.2356 4.2356 4.2356
angles: 90.00 90.00 90.00
Space group Pm-3m (No. 221)
Unique sites:
Mo (0.0000, 0.0000, 0.0000) x1
C (0.0000, 0.0000, 0.5000) x3
I (0.5000, 0.5000, 0.5000) x1

spin magnetization = 0.080 μB/atom
DOS at the Fermi energy = 5.83 states/eV per cell

Last place for stability: w

w:
A relaxed structure of MoCI2, computed with GGA-PBE.

abc: 5.8681 5.8681 11.7166
angles: 90.00 90.00 90.00
Space group I-42d (No. 122)
Unique sites:
Mo (0.0000, 0.0000, 0.0000) x4
C (0.0000, 0.0000, 0.5000) x4
I (0.2250, 0.2500, 0.6250) x8

spin magnetization = 0.000 μB/atom
DOS at the Fermi energy = 14.27 states/eV per cell

x:
A relaxed structure of MoCI2, computed with GGA-PBE.

abc: 6.7260 6.7260 6.7260
angles: 90.00 90.00 90.00
Space group Fm-3m (No. 225)
Unique sites:
Mo (0.0000, 0.0000, 0.0000) x4
C (0.0000, 0.0000, 0.5000) x4
I (0.2500, 0.2500, 0.2500) x8

spin magnetization = 0.000 μB/atom
DOS at the Fermi energy = 19.70 states/eV per cell

Last place for stability: w

w:
A relaxed structure of Mo3CI, computed with GGA-PBE.

abc: 4.8666 4.8666 4.8666
angles: 90.00 90.00 90.00
Space group Pm-3m (No. 221)
Unique sites:
Mo (0.0000, 0.0000, 0.5000) x3
C (0.5000, 0.5000, 0.5000) x1
I (0.0000, 0.0000, 0.0000) x1

spin magnetization = 0.000 μB/atom
DOS at the Fermi energy = 4.75 states/eV per cell

x:
A relaxed structure of Mo3CI, computed with GGA-PBE.

abc: 4.2823 4.2823 4.2823
angles: 90.00 90.00 90.00
Space group Pm-3m (No. 221)
Unique sites:
Mo (0.0000, 0.0000, 0.5000) x3
C (0.0000, 0.0000, 0.0000) x1
I (0.5000, 0.5000, 0.5000) x1

spin magnetization = 0.000 μB/atom
DOS at the Fermi energy = 8.35 states/eV per cell

Last place for stability: w

w:
A relaxed structure of MoC2I2, computed with GGA-PBE.

abc: 3.1724 3.1724 16.9617
angles: 90.00 90.00 90.00
Space group I4/mmm (No. 139)
Unique sites:
Mo (0.0000, 0.0000, 0.0000) x2
C (0.0000, 0.5000, 0.2500) x4
I (0.0000, 0.0000, 0.3953) x4

spin magnetization = 0.000 μB/atom
DOS at the Fermi energy = 6.18 states/eV per cell

x:
A relaxed structure of MoC2I2, computed with GGA-PBE.

abc: 7.4887 7.4887 3.5578
angles: 90.00 90.00 90.00
Space group P4/mbm (No. 127)
Unique sites:
Mo (0.0000, 0.0000, 0.0000) x2
C (0.2132, 0.2868, 0.5000) x4
I (0.1651, 0.6651, 0.0000) x4

spin magnetization = 0.428 μB/atom
DOS at the Fermi energy = 5.74 states/eV per cell

Last place for stability: x

w:
A relaxed structure of MoC2I2, computed with GGA-PBE.

abc: 6.2856 6.2856 4.7472
angles: 90.00 90.00 90.00
Space group P4/mbm (No. 127)
Unique sites:
Mo (0.0000, 0.0000, 0.0000) x2
C (0.2364, 0.2636, 0.0000) x4
I (0.2046, 0.2954, 0.5000) x4

spin magnetization = 0.000 μB/atom
DOS at the Fermi energy = 7.28 states/eV per cell

x:
A relaxed structure of MoC2I2, computed with GGA-PBE.

abc: 5.3584 5.3584 6.0578
angles: 90.00 90.00 90.00
Space group I4/mmm (No. 139)
Unique sites:
Mo (0.0000, 0.0000, 0.0000) x2
C (0.0000, 0.0000, 0.3945) x4
I (0.0000, 0.5000, 0.2500) x4

spin magnetization = 0.000 μB/atom
DOS at the Fermi energy = 3.17 states/eV per cell

Last place for stability: w